# 1
PtO3: relaxed, PBE.

E	-5.259	eV/atom

Unit cell a=5.1084 b=5.1535 c=8.5386 alpha=106.65 beta=90.04 gamma=118.74
Space group P1 (No. 1)
Unique sites:
Pt  0.0000  0.0000  0.0000
Pt  0.0397  0.7937  0.3091
Pt  0.3411  0.6561  0.0002
Pt  0.5236  0.3677  0.5751
O  0.1069  0.4377  0.1523
O  0.1211  0.2083  0.4397
O  0.2218  0.1502  0.7090
O  0.3168  0.0241  0.1524
O  0.3357  0.2523  0.8782
O  0.4183  0.9286  0.4421
O  0.5776  0.7981  0.6896
O  0.6239  0.9231  0.8634
O  0.7271  0.5084  0.3921
O  0.7278  0.8125  0.1497
O  0.9356  0.5046  0.6977
O  0.9395  0.5641  0.8693

***

# 2
PtO3: relaxed, PBE.

E	-5.160	eV/atom

Unit cell a=4.8730 b=8.5510 c=5.0628 alpha=90.00 beta=113.89 gamma=90.00
Space group C2 (No. 5)
Unique sites:
Pt  0.0000  0.0000  0.0000
Pt  0.0000  0.1892  0.5000
O  0.2265  0.3457  0.7715
O  0.2291  0.0234  0.7579
O  0.2382  0.1629  0.2610

***

# 3
Pt2O: relaxed, PBE.

energy relative to the lowest polymorph listed for this composition	0	meV/atom

Unit cell a=8.9840 b=8.9840 c=8.9840 alpha=90.00 beta=90.00 gamma=90.00
Space group Fd-3m (No. 227, origin choice 2)
Unique sites:
Pt  0.0000  0.0000  0.0000
O  0.1250  0.1250  0.1250

***

# 4
Rb2PtO4: relaxed, PBE.

E	-4.591	eV/atom

Unit cell a=10.3015 b=10.3015 c=10.3015 alpha=90.00 beta=90.00 gamma=90.00
Space group Fd-3m (No. 227, origin choice 2)
Unique sites:
Rb  0.0000  0.0000  0.0000
Pt  0.1250  0.1250  0.6250
O  0.0207  0.0207  0.7293

***

# 5
Rb2PtSeO: relaxed, PBE.

E	-4.138	eV/atom

Unit cell a=3.5040 b=9.9622 c=7.0522 alpha=90.00 beta=90.00 gamma=90.00
Space group Imm2 (No. 44)
Unique sites:
Rb  0.0000  0.1780  0.0000
Pt  0.0000  0.0000  0.5920
Se  0.0000  0.5000  0.8560
O  0.0000  0.5000  0.2830

***

# 6
Rb2TePtO: relaxed, PBE.

E	-3.971	eV/atom

Unit cell a=3.5668 b=10.3810 c=7.4342 alpha=90.00 beta=90.00 gamma=90.00
Space group Imm2 (No. 44)
Unique sites:
Rb  0.0000  0.1722  0.0000
Te  0.0000  0.5000  0.8786
Pt  0.0000  0.0000  0.6255
O  0.0000  0.5000  0.3105